Material: Sr2Hf2Ta
Method: DFT, PBE
State: relaxed

```
10
Lattice="7.200 0.000 0.000 0.000 7.200 0.000 0.000 0.000 6.069" Properties=species:S:1:pos:R:3 pbc="T T T"
Sr 1.248 4.848 3.035
Sr 4.848 5.952 3.035
Sr 5.952 2.352 3.035
Sr 2.352 1.248 3.035
Hf 2.406 6.006 0.000
Hf 6.006 4.795 0.000
Hf 4.795 1.194 0.000
Hf 1.194 2.406 0.000
Ta 0.000 0.000 0.000
Ta 3.600 3.600 0.000
```

Summary:
Density ... 7.53 g/cm³
ΔH_f (0 K) ... 0.814 eV per atom
Energy above the lowest structure with this stoichiometry ... 0.000 eV/atom